# 1
The following is a GGA-PBE calculation of a relaxed structure of Pm2Zn2Cd, from the Alexandria database.

Unit cell a=3.702 b=4.535 c=7.565 alpha=107.44 beta=90.00 gamma=90.00
Site moments in Bohr magnetons follow the coordinates.
Fractional positions:
Pm 0.500 0.627 0.253  0.17
Pm 0.500 0.373 0.747  0.17
Zn 0.000 0.202 0.403  0.03
Zn 0.000 0.798 0.597  0.03
Cd 0.000 0.000 0.000  0.01

For the formation energy, the calculation gives -0.322 eV per atom. The density of states at the Fermi level comes out at 5.9 states/eV/cell. As for the energy above the lowest structure with this stoichiometry: 0 meV/atom. The calculation puts the total magnetization at 0.82 μB per formula unit. As for the symmetry: Cmmm. As for the energy: -2.915 eV/atom.

---

# 2
The following is a GGA-PBE calculation of a relaxed structure of Pm2Zn3Cd6, from the Alexandria database.

Unit cell a=4.457 b=8.100 c=8.100 alpha=120.00 beta=90.00 gamma=90.00
Fractional positions:
Pm 0.000 0.667 0.333
Pm 0.000 0.333 0.667
Zn 0.500 0.390 0.390
Zn 0.500 0.610 0.000
Zn 0.500 0.000 0.610
Cd 0.500 0.710 0.710
Cd 0.500 0.000 0.290
Cd 0.000 0.208 0.208
Cd 0.000 0.792 0.000
Cd 0.500 0.290 0.000
Cd 0.000 0.000 0.792

For the formation energy, the calculation gives -0.196 eV per atom. The density of states at the Fermi level comes out at 3.9 states/eV/cell. The calculation puts the total magnetization at 0.00 μB per formula unit. As for the symmetry: P-62m. As for the energy: -1.906 eV/atom.